GaBF2: relaxed, PBE.

Properties
Crystal system: cubic
ΔE to the lowest computed polymorph: 656 meV per atom
Density: 3.8 g/cm3
SG: Fm-3m

POSCAR file:
```
GaBF2
1.0
-2.5144 -3.0082 1.4580
-2.6440 0.8214 3.1356
-4.1154 0.1793 -0.7270
F B Ga
2 1 1
Direct
0.2500 0.2500 0.2500
0.7500 0.7500 0.7500
0.0000 0.0000 0.0000
0.5000 0.5000 0.5000
```